1.
ScTaTc (GGA-PBE, relaxed); energy relative to the elements = -0.03 eV per atom; E above lowest polymorph = 17.4 kJ/mol of atoms
1.0
-0.524 -2.022 -6.833
-2.823 -3.239 -5.406
-0.773 2.412 -1.545
Ta Tc Sc
1 1 1
Direct
0.318 0.318 0.682 Ta
0.672 0.672 0.328 Tc
0.011 0.011 0.989 Sc

2.
YOsCl2 (GGA-PBE, relaxed); E above lowest polymorph = 37.3 kJ/mol of atoms; formation energy (no corrections) = -187 meV per atom
1.0
4.260 0.000 0.000
0.000 4.362 -0.001
0.000 0.241 4.363
Os Y Cl
1 1 2
Direct
0.500 0.250 0.250 Os
0.500 0.750 0.750 Y
0.000 0.031 0.032 Cl
0.000 0.469 0.468 Cl

3.
BaV3Cd (GGA-PBE, relaxed); energy relative to the elements = 1.33 eV per atom; E above lowest polymorph = 0.0 kJ/mol of atoms
1.0
-2.339 1.341 -4.519
-4.637 0.256 2.476
0.851 5.082 1.068
Ba V Cd
1 3 1
Direct
0.500 0.500 0.500 Ba
0.000 0.500 0.000 V
0.500 0.000 0.000 V
0.000 0.000 0.500 V
0.000 0.000 0.000 Cd

4.
LiAl3 (GGA-PBE, relaxed); energy relative to the elements = -0.05 eV per atom
1.0
-1.777 0.606 2.081
-0.289 -2.733 0.549
6.466 0.402 5.407
Al Li
3 1
Direct
0.500 0.500 0.751 Al
0.000 0.000 0.500 Al
0.500 0.500 0.249 Al
0.000 0.000 0.000 Li

5.
Sb4RhAu (GGA-PBE, relaxed); E above lowest polymorph = 98.8 kJ/mol of atoms; formation energy (no corrections) = 752 meV per atom
1.0
-2.943 3.980 3.445
-2.525 4.870 -2.505
-6.004 0.437 -0.357
Au Sb Rh
1 4 1
Direct
0.750 0.750 0.750 Au
0.376 0.873 0.376 Sb
0.376 0.376 0.376 Sb
0.376 0.376 0.873 Sb
0.873 0.376 0.376 Sb
0.000 0.000 0.000 Rh

6.
Ce2BePd6 (GGA-PBE, relaxed); energy relative to the elements = -0.75 eV per atom
1.0
0.458 3.375 5.301
5.254 0.586 3.430
3.323 5.323 0.580
Pd Ce Be
6 2 1
Direct
0.763 0.253 0.763 Pd
0.747 0.237 0.237 Pd
0.253 0.763 0.763 Pd
0.763 0.763 0.254 Pd
0.237 0.747 0.237 Pd
0.237 0.237 0.746 Pd
0.241 0.241 0.241 Ce
0.759 0.759 0.759 Ce
0.500 0.500 0.500 Be

7.
NaMo2Pt2 (GGA-PBE, relaxed); energy relative to the elements = -0.07 eV per atom
1.0
8.030 0.000 0.000
0.000 8.030 0.000
0.000 0.000 2.715
Mo Na Pt
4 2 4
Direct
0.116 0.384 0.000 Mo
0.384 0.884 0.000 Mo
0.884 0.616 0.000 Mo
0.616 0.116 0.000 Mo
0.500 0.500 0.000 Na
0.000 0.000 0.000 Na
0.826 0.326 0.500 Pt
0.326 0.174 0.500 Pt
0.174 0.674 0.500 Pt
0.674 0.826 0.500 Pt

8.
LiMn3C (GGA-PBE, relaxed); energy relative to the elements = 0.13 eV per atom; E above lowest polymorph = 0.0 kJ/mol of atoms
1.0
-1.572 -3.571 0.162
1.603 -0.546 3.519
-3.195 1.483 1.686
Mn C Li
3 1 1
Direct
0.000 0.000 0.500 Mn
0.000 0.500 0.000 Mn
0.500 0.000 0.000 Mn
0.000 0.000 0.000 C
0.500 0.500 0.500 Li

9.
TiFe3Cl (GGA-PBE, relaxed); E above lowest polymorph = 64.4 kJ/mol of atoms; formation energy (no corrections) = 1300 meV per atom
1.0
-0.087 2.400 3.818
-3.114 -2.795 1.685
3.262 -2.603 1.711
Fe Cl Ti
3 1 1
Direct
0.000 0.000 0.500 Fe
0.500 0.000 0.000 Fe
0.000 0.500 0.000 Fe
0.500 0.500 0.500 Cl
0.000 0.000 0.000 Ti

10.
K2UAsO6 (GGA-PBE, relaxed); formation energy (no corrections) = -2134 meV per atom
1.0
-4.186 3.349 -2.018
-1.840 -4.296 -3.312
-5.453 -1.727 0.316
O U K As
6 1 2 1
Direct
0.734 0.733 0.000 O
0.733 0.733 0.533 O
0.267 0.733 0.000 O
0.267 0.267 0.467 O
0.733 0.267 0.000 O
0.266 0.267 0.000 O
0.000 0.000 0.000 U
0.250 0.750 0.500 K
0.750 0.250 0.500 K
0.500 0.500 0.000 As

11.
Ho5Bi (GGA-PBE, relaxed); energy relative to the elements = -0.22 eV per atom
1.0
4.904 0.000 0.000
0.000 4.832 0.000
0.000 -2.416 7.465
Ho Bi
5 1
Direct
0.500 0.830 0.659 Ho
0.000 0.664 0.328 Ho
0.000 0.336 0.672 Ho
0.500 0.170 0.341 Ho
0.500 0.500 0.000 Ho
0.000 0.000 0.000 Bi

12.
LiPrMgGa (GGA-PBE, relaxed); energy relative to the elements = -0.34 eV per atom
1.0
-3.091 2.356 3.146
-4.648 -1.709 0.687
-1.260 -2.141 4.338
Pr Li Ga Mg
1 1 1 1
Direct
0.000 0.000 0.000 Pr
0.750 0.750 0.750 Li
0.250 0.250 0.250 Ga
0.500 0.500 0.500 Mg

13.
Li5Ac2Pt3 (GGA-PBE, relaxed); energy relative to the elements = -0.61 eV per atom
1.0
4.180 0.000 -0.712
0.000 7.572 0.000
0.134 0.000 13.414
Li Ac Pt
10 4 6
Direct
0.059 0.531 0.118 Li
0.709 0.148 0.417 Li
0.941 0.031 0.882 Li
0.726 0.494 0.452 Li
0.430 0.249 0.860 Li
0.570 0.749 0.140 Li
0.843 0.812 0.685 Li
0.157 0.312 0.315 Li
0.274 0.994 0.548 Li
0.291 0.648 0.583 Li
0.547 0.182 0.093 Ac
0.453 0.682 0.907 Ac
0.837 0.269 0.674 Ac
0.163 0.769 0.326 Ac
0.374 0.978 0.749 Pt
0.743 0.824 0.487 Pt
0.032 0.878 0.064 Pt
0.968 0.378 0.936 Pt
0.257 0.324 0.513 Pt
0.626 0.478 0.251 Pt

14.
Ce2YThP4 (GGA-PBE, relaxed); energy relative to the elements = -1.55 eV per atom
1.0
-3.300 2.201 1.013
0.567 -2.237 6.706
4.099 4.470 3.640
P Ce Th Y
4 2 1 1
Direct
0.500 0.251 0.747 P
0.500 0.749 0.253 P
0.000 0.249 0.254 P
0.000 0.751 0.746 P
0.000 0.000 0.000 Ce
0.500 0.000 0.500 Ce
0.500 0.500 0.000 Th
0.000 0.500 0.500 Y

15.
MnCd2Br (GGA-PBE, relaxed); E above lowest polymorph = 44.3 kJ/mol of atoms; formation energy (no corrections) = 472 meV per atom
1.0
0.000 3.738 3.738
3.738 0.000 3.738
3.738 3.738 0.000
Cd Mn Br
2 1 1
Direct
0.750 0.750 0.750 Cd
0.250 0.250 0.250 Cd
0.000 0.000 0.000 Mn
0.500 0.500 0.500 Br